Entry 1:
Computed, not measured: crystalline VW2S2 at its relaxed geometry at the PBE level of DFT.

abc: 4.686 4.686 4.813
angles: 60.87 60.87 90.00
Element x y z (fractional)
S 0.331 0.331 0.339
S 0.669 0.669 0.661
W 0.750 0.250 0.500
W 0.250 0.750 0.500
V 0.000 0.000 0.000

Values from the calculation:
E_form (uncorrected) = 35.6 kJ/mol of atoms
V = 15.3 A^3/atom
polymorph energy (0 for the lowest one) = 137 meV per atom
E_tot = -8.29 eV/atom

***

Entry 2:
Computed, not measured: crystalline Mg2Cd5Ag2 at its relaxed geometry at the PBE level of DFT.

abc: 4.789 4.753 10.201
angles: 103.46 90.00 120.25
Element x y z (fractional)
Mg 0.583 0.167 0.742
Mg 0.417 0.833 0.258
Cd 0.704 0.407 0.117
Cd 0.296 0.593 0.883
Cd 0.805 0.610 0.424
Cd 0.195 0.390 0.576
Cd 0.000 0.000 0.000
Ag 0.908 0.815 0.711
Ag 0.092 0.185 0.289

Values from the calculation:
energy relative to the elements = -0.6 eV/f.u.
V = 21.5 A^3/atom
E_tot = -1.56 eV/atom